No. 1
Ca2Co4Mo PBE-GGA relaxed; calculated total energy = -5.4016 eV per atom; spin magnetization = 1.22 μB per cell
1.0
-2.230 1.036 3.774
1.451 -3.815 1.905
5.374 2.034 5.306
Ca Co Mo
2 4 1
Cartesian
1.197 -0.447 3.518
3.399 -0.297 7.467
3.568 0.961 4.533
1.028 -1.706 6.452
0.726 -1.908 0.953
-1.115 0.518 1.887
0.000 0.000 0.000

=====

No. 2
Ca3CoMo PBE-GGA relaxed; E above lowest polymorph = 0 meV per atom; calculated total energy = -3.8856 eV per atom; spin magnetization = 4.62 μB per cell
1.0
5.302 0.000 0.000
0.000 5.302 0.000
0.000 0.000 5.302
Ca Mo Co
3 1 1
Cartesian
0.000 0.000 2.651
0.000 2.651 0.000
2.651 0.000 0.000
2.651 2.651 2.651
0.000 0.000 0.000

=====

No. 3
Ca2CoMo PBE-GGA relaxed; E above lowest polymorph = 565 meV per atom; calculated total energy = -4.5777 eV per atom; spin magnetization = 4.01 μB per cell
1.0
-1.005 1.936 -4.822
-3.401 -3.451 -2.130
-0.279 2.462 4.677
Mo Ca Co
1 2 1
Cartesian
-1.743 1.820 -1.811
-2.203 -0.758 -3.476
0.000 0.000 0.000
-2.941 -0.874 -0.464